Computed, not measured: a relaxed structure of NaUPN4 at the PBE-GGA level of DFT.

The space group is Cmcm (No. 63) and the conventional cell measures 5.912, 9.137 and 6.785 Å, with angles of 90.00, 90.00 and 90.00 degrees. The distinct sites, in fractional coordinates, are Na at (0.000, 0.000, 0.000), U at (0.000, 0.310, 0.250), P at (0.000, 0.387, 0.750), N at (0.000, 0.282, 0.551) and N at (0.215, 0.500, 0.250).

For the magnetic moment, the calculation gives 0.0 μB per formula unit. The value obtained for the density is 6.31 g cm⁻³. As for the uncorrected formation energy: -0.574 eV/atom.